Entry 1:
Material: YTl2PdO6
Method: DFT, GGA-PBE
State: optimized geometry

Output
Density of states at the Fermi level: 3.95 states/eV/f.u.
E_form (uncorrected): -1212 meV per atom
E: -5.826 eV per atom

Cell lengths 5.7123, 5.7103, 5.9972 Å; angles 61.55, 61.52, 59.99 degrees
Last column: nearest neighbours and their distance in Å.
Sites, in units of the cell vectors:
O 0.9748 0.5789 0.2567  1 Pd 2.06, 1 Tl 2.30
O 0.6778 0.1055 0.7863  1 Pd 2.07, 1 Y 2.23, 1 Tl 2.25
O 0.1894 0.9749 0.2567  1 Pd 2.06, 1 Tl 2.30
Tl 0.5460 0.5462 0.3617  3 O 2.30
O 0.1062 0.4305 0.7856  1 Pd 2.07, 1 Y 2.23, 1 Tl 2.25
Pd 0.3205 0.3206 0.0383  6 O 2.06-2.07
Tl 0.0276 0.0278 0.9170  6 O 2.25-2.45
O 0.4304 0.6777 0.7860  1 Pd 2.07, 1 Y 2.23, 1 Tl 2.25
O 0.5790 0.1895 0.2568  1 Pd 2.06, 1 Tl 2.30
Y 0.8099 0.8100 0.5702  6 O 2.23-2.36

***

Entry 2:
Material: Tm3PdO6
Method: DFT, GGA-PBE
State: optimized geometry

Output
Density of states at the Fermi level: 0.86 states/eV/f.u.
E_form (uncorrected): -2749 meV per atom
E: -7.584 eV per atom
Offset from the most stable computed form: 4.6 kJ/mol of atoms

Cell lengths 5.4631, 7.0186, 7.0186 Å; angles 102.09, 90.00, 90.00 degrees
Last column: nearest neighbours and their distance in Å.
Sites, in units of the cell vectors:
O 0.1801 0.1068 0.5921  1 Pd 2.18, 3 Tm 2.19-2.40
Pd 0.4736 0.8620 0.1380  5 O 2.00-2.18
Tm 0.4645 0.9087 0.6746  6 O 2.19-2.38
O 0.7838 0.9746 0.0254  2 Pd 2.06-2.09
Pd 0.9736 0.1380 0.8620  5 O 2.00-2.18
Tm 0.9645 0.6746 0.9087  6 O 2.19-2.38
O 0.6897 0.6433 0.6756  4 Tm 2.20-2.27
O 0.6469 0.2209 0.7791  1 Pd 2.00
Tm 0.4645 0.3254 0.0913  6 O 2.19-2.38
O 0.1897 0.3567 0.3244  4 Tm 2.20-2.27
Tm 0.9645 0.0913 0.3254  6 O 2.19-2.38
O 0.1469 0.7791 0.2209  1 Pd 2.00
O 0.6897 0.3244 0.3567  4 Tm 2.20-2.27
O 0.6801 0.5921 0.1068  1 Pd 2.18, 3 Tm 2.19-2.40
Tm 0.9127 0.6017 0.3983  7 O 2.26-2.40
O 0.1801 0.4079 0.8932  1 Pd 2.18, 3 Tm 2.19-2.40
O 0.6801 0.8932 0.4079  1 Pd 2.18, 3 Tm 2.19-2.40
O 0.1897 0.6756 0.6433  4 Tm 2.20-2.27
Tm 0.4127 0.3983 0.6017  7 O 2.26-2.40
O 0.2838 0.0254 0.9746  2 Pd 2.06-2.09

***

Entry 3:
Material: Tm3PdO6
Method: DFT, GGA-PBE
State: optimized geometry

Output
E_form (uncorrected): -2796 meV per atom
E: -7.632 eV per atom
Offset from the most stable computed form: 0.0 kJ/mol of atoms

Cell lengths 6.5328, 6.5328, 6.5328 Å; angles 92.32, 92.32, 92.32 degrees
Last column: nearest neighbours and their distance in Å.
Sites, in units of the cell vectors:
O 0.3268 0.8933 0.0689  3 Tm 2.17-2.25, 1 Pd 2.31
Pd 0.5000 0.5000 0.5000  6 O 2.06
Tm 0.5623 0.0716 0.2502  6 O 2.17-2.32
Tm 0.0716 0.2502 0.5623  6 O 2.17-2.32
O 0.4092 0.1981 0.5324  1 Pd 2.06, 2 Tm 2.26-2.27
O 0.0689 0.3268 0.8933  3 Tm 2.17-2.25, 1 Pd 2.31
Tm 0.2502 0.5623 0.0716  6 O 2.17-2.32
O 0.8019 0.4676 0.5908  1 Pd 2.06, 2 Tm 2.26-2.27
O 0.6732 0.1067 0.9311  3 Tm 2.17-2.25, 1 Pd 2.31
O 0.1981 0.5324 0.4092  1 Pd 2.06, 2 Tm 2.26-2.27
O 0.1067 0.9311 0.6732  3 Tm 2.17-2.25, 1 Pd 2.31
O 0.9311 0.6732 0.1067  3 Tm 2.17-2.25, 1 Pd 2.31
Tm 0.7498 0.4377 0.9284  6 O 2.17-2.32
O 0.8933 0.0689 0.3268  3 Tm 2.17-2.25, 1 Pd 2.31
Pd 0.0000 0.0000 0.0000  6 O 2.31
O 0.4676 0.5908 0.8019  1 Pd 2.06, 2 Tm 2.26-2.27
O 0.5908 0.8019 0.4676  1 Pd 2.06, 2 Tm 2.26-2.27
Tm 0.4377 0.9284 0.7498  6 O 2.17-2.32
O 0.5324 0.4092 0.1981  1 Pd 2.06, 2 Tm 2.26-2.27
Tm 0.9284 0.7498 0.4377  6 O 2.17-2.32